# 1
The following is a DFT calculation (PBE) of a relaxed structure of GdZrAl2.

Cell: 3.632 3.632 6.575 Å, 90.00 90.00 90.00°
Positions (direct):
Al  0.000  0.000  0.786
Al  0.000  0.000  0.214
Zr  0.500  0.500  0.000
Gd  0.500  0.500  0.500

Values from the calculation:
Energy of formation: -357 meV per atom
Space group: No. 123

***

# 2
The following is a DFT calculation (PBE) of a relaxed structure of Cr4Ir7Ru.

Cell: 5.055 8.664 4.895 Å, 75.39 84.96 54.51°
Positions (direct):
Cr  0.558  0.274  0.637
Cr  0.645  0.712  0.810
Cr  0.442  0.726  0.363
Cr  0.355  0.288  0.190
Ir  0.729  0.417  0.200
Ir  0.271  0.583  0.800
Ir  0.027  0.632  0.294
Ir  0.800  0.947  0.516
Ir  0.973  0.368  0.706
Ir  0.500  0.000  0.000
Ir  0.200  0.053  0.484
Ru  0.000  0.000  0.000

Values from the calculation:
Energy of formation: 65 meV per atom
Space group: No. 2

***

# 3
The following is a DFT calculation (PBE) of a relaxed structure of Tl2Zn.

Cell: 6.525 6.525 6.525 Å, 148.13 147.34 46.29°
Positions (direct):
Zn  0.000  0.000  0.000
Tl  0.650  0.650  0.000
Tl  0.350  0.350  0.000

Values from the calculation:
Energy of formation: 128 meV per atom
Space group: No. 71

***

# 4
The following is a DFT calculation (PBE) of a relaxed structure of La2Sm3Ge4.

Cell: 7.811 8.015 8.107 Å, 90.00 90.00 107.71°
Positions (direct):
Sm  0.000  0.500  0.500
Sm  0.244  0.754  0.174
Sm  0.500  0.500  0.000
Sm  0.756  0.246  0.826
Sm  0.256  0.246  0.674
Sm  0.744  0.754  0.326
Ge  0.133  0.509  0.870
Ge  0.131  0.918  0.466
Ge  0.867  0.491  0.130
Ge  0.633  0.509  0.630
Ge  0.369  0.082  0.966
Ge  0.367  0.491  0.370
Ge  0.631  0.918  0.034
Ge  0.869  0.082  0.534
La  0.080  0.198  0.179
La  0.580  0.198  0.321
La  0.920  0.802  0.821
La  0.420  0.802  0.679

Values from the calculation:
Energy of formation: -852 meV per atom
Space group: No. 14

***

# 5
The following is a DFT calculation (PBE) of a relaxed structure of Lu3Th.

Cell: 4.944 4.944 4.944 Å, 90.00 90.00 90.00°
Positions (direct):
Th  0.000  0.000  0.000
Lu  0.500  0.000  0.500
Lu  0.000  0.500  0.500
Lu  0.500  0.500  0.000

Values from the calculation:
Energy of formation: 33 meV per atom
Space group: No. 221

***

# 6
The following is a DFT calculation (PBE) of a relaxed structure of Cs2KPt2.

Cell: 8.452 8.452 5.309 Å, 90.00 90.00 90.00°
Positions (direct):
Pt  0.892  0.608  0.000
Pt  0.608  0.108  0.000
Pt  0.108  0.392  0.000
Pt  0.392  0.892  0.000
Cs  0.834  0.334  0.500
Cs  0.166  0.666  0.500
Cs  0.334  0.166  0.500
Cs  0.666  0.834  0.500
K  0.000  0.000  0.000
K  0.500  0.500  0.000

Values from the calculation:
Energy of formation: 117 meV per atom
Space group: No. 127

***

# 7
The following is a DFT calculation (PBE) of a relaxed structure of K2SnBi2S6.

Cell: 6.928 6.928 7.994 Å, 98.74 98.74 119.30°
Positions (direct):
Sn  0.000  0.000  0.500
S  0.229  0.229  0.302
S  0.620  0.932  0.300
S  0.932  0.620  0.300
S  0.380  0.068  0.700
S  0.068  0.380  0.700
S  0.771  0.771  0.698
Bi  0.669  0.331  0.500
Bi  0.331  0.669  0.500
K  0.827  0.173  0.000
K  0.173  0.827  0.000

Values from the calculation:
Raw formation energy: -690 meV/atom
Space group: No. 12

***

# 8
The following is a DFT calculation (PBE) of a relaxed structure of Pa2ZnIn5.

Cell: 4.578 6.516 13.011 Å, 90.00 90.00 90.00°
Positions (direct):
Pa  0.500  0.247  0.624
Pa  0.500  0.753  0.376
Pa  0.500  0.253  0.124
Pa  0.500  0.747  0.876
In  0.000  0.500  0.500
In  0.500  0.248  0.378
In  0.000  0.005  0.254
In  0.000  0.495  0.754
In  0.500  0.748  0.122
In  0.000  0.505  0.246
In  0.500  0.752  0.622
In  0.000  0.000  0.000
In  0.500  0.252  0.878
In  0.000  0.995  0.746
Zn  0.000  0.000  0.500
Zn  0.000  0.500  0.000

Values from the calculation:
Energy of formation: -90 meV per atom
Space group: No. 55

***

# 9
The following is a DFT calculation (PBE) of a relaxed structure of V3GaH3.

Cell: 4.902 4.902 7.212 Å, 70.13 70.13 60.00°
Positions (direct):
V  0.899  0.221  0.308
V  0.221  0.572  0.308
V  0.428  0.101  0.692
V  0.101  0.779  0.692
V  0.779  0.428  0.692
V  0.572  0.899  0.308
H  0.523  0.204  0.413
H  0.796  0.141  0.587
H  0.859  0.523  0.413
H  0.204  0.859  0.413
H  0.141  0.477  0.587
H  0.477  0.796  0.587
Ga  0.334  0.334  0.998
Ga  0.666  0.666  0.002

Values from the calculation:
Energy: -5.776 eV per atom
Space group: No. 148

***

# 10
The following is a DFT calculation (PBE) of a relaxed structure of Nd4DyHo4.

Cell: 5.630 8.946 8.969 Å, 44.71 71.66 71.60°
Positions (direct):
Nd  0.719  0.847  0.715
Nd  0.133  0.692  0.042
Nd  0.281  0.153  0.285
Nd  0.867  0.308  0.958
Ho  0.378  0.574  0.672
Ho  0.929  0.769  0.375
Ho  0.071  0.231  0.625
Ho  0.622  0.426  0.328
Dy  0.500  0.000  0.000

Values from the calculation:
Energy of formation: 106 meV per atom
Space group: No. 2

***

# 11
The following is a DFT calculation (PBE) of a relaxed structure of VPd3Se.

Cell: 4.658 4.658 4.658 Å, 90.00 90.00 90.00°
Positions (direct):
Pd  0.000  0.500  0.000
Pd  0.000  0.000  0.500
Pd  0.500  0.000  0.000
Se  0.000  0.000  0.000
V  0.500  0.500  0.500

Values from the calculation:
Raw formation energy: 400 meV/atom
Space group: No. 221

***

# 12
The following is a DFT calculation (PBE) of a relaxed structure of BeRe2.

Cell: 6.743 6.743 4.226 Å, 90.00 90.00 155.52°
Positions (direct):
Re  0.223  0.777  0.750
Re  0.555  0.445  0.750
Re  0.445  0.555  0.250
Re  0.777  0.223  0.250
Be  0.109  0.891  0.250
Be  0.891  0.109  0.750

Values from the calculation:
Energy of formation: 30 meV per atom
Space group: No. 63

***

Repeat the eighth record exactly.
The following is a DFT calculation (PBE) of a relaxed structure of Pa2ZnIn5.

Cell: 4.578 6.516 13.011 Å, 90.00 90.00 90.00°
Positions (direct):
Pa  0.500  0.247  0.624
Pa  0.500  0.753  0.376
Pa  0.500  0.253  0.124
Pa  0.500  0.747  0.876
In  0.000  0.500  0.500
In  0.500  0.248  0.378
In  0.000  0.005  0.254
In  0.000  0.495  0.754
In  0.500  0.748  0.122
In  0.000  0.505  0.246
In  0.500  0.752  0.622
In  0.000  0.000  0.000
In  0.500  0.252  0.878
In  0.000  0.995  0.746
Zn  0.000  0.000  0.500
Zn  0.000  0.500  0.000

Values from the calculation:
Energy of formation: -90 meV per atom
Space group: No. 55

***

> Number 12 is which compound?

BeRe2